## Sm6HoIn2 (PBE-GGA)

Data for a geometry-optimized Sm6HoIn2 structure.

Its density of states at the Fermi level is 24.1 states/eV per cell. The calculation puts the formation energy at -0.068 eV per atom. The space group is Cmcm. For the total energy, the calculation gives -78.0 eV/cell. The value obtained for the calculated volume is 32.201 A^3/atom.

Lattice parameters (Å, degrees): 5.1282 11.1229 11.1229 66.00 90.00 90.00
With the nearest neighbours (Å) after each atom.
Sites, in units of the cell vectors:
Sm  0.2499  0.7195  0.4777  3 In 3.25-3.45, 1 Sm 3.58
Sm  0.7500  0.6339  0.9723  4 In 3.14-3.34, 2 Sm 3.40-3.41
Sm  0.2500  0.0066  0.1742  7 Sm 3.27-3.65, 2 Ho 3.47, 1 In 3.57
Sm  0.2500  0.9723  0.6339  4 In 3.14-3.34, 2 Sm 3.40-3.41
Sm  0.2500  0.8258  0.9934  7 Sm 3.27-3.65, 2 Ho 3.47, 1 In 3.57
Sm  0.2501  0.5223  0.2805  3 In 3.25-3.45, 1 Sm 3.58
Sm  0.7501  0.2805  0.5223  3 In 3.25-3.45, 1 Sm 3.58
Sm  0.7499  0.4777  0.7195  3 In 3.25-3.45, 1 Sm 3.58
Sm  0.7500  0.9934  0.8258  7 Sm 3.27-3.65, 2 Ho 3.47, 1 In 3.57
Sm  0.7500  0.1742  0.0066  7 Sm 3.27-3.65, 2 Ho 3.47, 1 In 3.57
Sm  0.7500  0.0277  0.3661  4 In 3.14-3.34, 2 Sm 3.40-3.41
Sm  0.2500  0.3661  0.0277  4 In 3.14-3.34, 2 Sm 3.40-3.41
In  0.7500  0.3550  0.2080  2 In 3.12, 7 Sm 3.14-3.45
In  0.7500  0.7920  0.6450  2 In 3.12, 7 Sm 3.14-3.45
In  0.2500  0.6450  0.7920  2 In 3.12, 7 Sm 3.14-3.45
In  0.2500  0.2080  0.3550  2 In 3.12, 7 Sm 3.14-3.45
Ho  0.7500  0.7822  0.2178  10 Sm 3.47-3.72
Ho  0.2500  0.2178  0.7822  10 Sm 3.47-3.72

***

## Sm2Ho3In3 (PBE-GGA)

Data for a geometry-optimized Sm2Ho3In3 structure.

Its density of states at the Fermi level is 6.9 states/eV per cell. The calculation puts the formation energy at -0.347 eV per atom. The space group is Immm. For the total energy, the calculation gives -34.2 eV/cell. The value obtained for the calculated volume is 27.905 A^3/atom.

Lattice parameters (Å, degrees): 4.5080 4.8805 10.6767 103.21 102.19 90.00
With the nearest neighbours (Å) after each atom.
Sites, in units of the cell vectors:
Ho  0.6175  0.6175  0.2350  6 In 3.28-3.32, 2 Ho 3.41, 4 Sm 3.48-3.66
Ho  0.3825  0.3825  0.7650  6 In 3.28-3.32, 2 Ho 3.41, 4 Sm 3.48-3.66
Ho  0.5000  0.0000  0.0000  8 In 3.32-3.36, 4 Ho 3.41
Sm  0.2599  0.7599  0.5198  2 In 3.28, 4 Sm 3.35, 4 Ho 3.48-3.66
Sm  0.7401  0.2401  0.4802  2 In 3.28, 4 Sm 3.35, 4 Ho 3.48-3.66
In  0.0000  0.5000  0.0000  8 Ho 3.28-3.32, 4 In 3.49
In  0.1228  0.1228  0.2457  2 Sm 3.28, 6 Ho 3.32-3.36, 2 In 3.49
In  0.8772  0.8772  0.7543  2 Sm 3.28, 6 Ho 3.32-3.36, 2 In 3.49

***

## Sm3Ho6In (PBE-GGA)

Data for a geometry-optimized Sm3Ho6In structure.

Its density of states at the Fermi level is 29.8 states/eV per cell. The calculation puts the formation energy at -0.064 eV per atom. The space group is P2_1/m. For the total energy, the calculation gives -90.0 eV/cell. The value obtained for the calculated volume is 31.258 A^3/atom.

Lattice parameters (Å, degrees): 5.5781 9.6621 12.7325 114.36 90.00 90.00
With the nearest neighbours (Å) after each atom.
Sites, in units of the cell vectors:
Ho  0.2500  0.2121  0.1387  1 In 3.22, 3 Ho 3.46-3.57, 2 Sm 3.47
Ho  0.2500  0.3914  0.9300  7 Sm 3.37-3.60, 4 Ho 3.50-3.72
Ho  0.2500  0.7495  0.5141  3 In 3.22-3.34, 2 Sm 3.40-3.55, 2 Ho 3.59
Ho  0.7500  0.9739  0.6708  1 In 3.17, 2 Ho 3.41, 3 Sm 3.44-3.47
Ho  0.7500  0.7879  0.8613  1 In 3.22, 3 Ho 3.46-3.57, 2 Sm 3.47
Ho  0.2500  0.9774  0.8266  8 Ho 3.41-3.77, 4 Sm 3.56-3.62
Ho  0.7500  0.2505  0.4859  3 In 3.22-3.34, 2 Sm 3.40-3.55, 2 Ho 3.59
Ho  0.7500  0.6086  0.0700  7 Sm 3.37-3.60, 4 Ho 3.50-3.72
Ho  0.7500  0.4508  0.2991  3 In 3.31-3.35, 3 Sm 3.55-3.57, 3 Ho 3.63-3.66
Ho  0.7500  0.0226  0.1734  8 Ho 3.41-3.77, 4 Sm 3.56-3.62
Ho  0.2500  0.5492  0.7009  3 In 3.31-3.35, 3 Sm 3.55-3.57, 3 Ho 3.63-3.66
Ho  0.2500  0.0261  0.3292  1 In 3.17, 2 Ho 3.41, 3 Sm 3.44-3.47
Sm  0.7500  0.2025  0.9741  11 Ho 3.47-3.83, 1 Sm 3.56
Sm  0.7500  0.8481  0.3732  9 Ho 3.44-3.65, 2 Sm 3.58
Sm  0.2500  0.7975  0.0259  11 Ho 3.47-3.83, 1 Sm 3.56
Sm  0.2500  0.6204  0.2221  8 Ho 3.37-3.64, 3 Sm 3.56-3.58
Sm  0.2500  0.1519  0.6268  9 Ho 3.44-3.65, 2 Sm 3.58
Sm  0.7500  0.3796  0.7779  8 Ho 3.37-3.64, 3 Sm 3.56-3.58
In  0.7500  0.6161  0.5842  8 Ho 3.17-3.35
In  0.2500  0.3839  0.4158  8 Ho 3.17-3.35

***

## Sm6Ho12In (PBE-GGA)

Data for a geometry-optimized Sm6Ho12In structure.

Its density of states at the Fermi level is 24.6 states/eV per cell. The calculation puts the formation energy at 0.070 eV per atom. The space group is R-3. For the total energy, the calculation gives -84.7 eV/cell. The value obtained for the calculated volume is 31.905 A^3/atom.

Lattice parameters (Å, degrees): 8.4647 8.4647 8.4647 88.93 88.93 88.93
With the nearest neighbours (Å) after each atom.
Sites, in units of the cell vectors:
Sm  0.6967  0.2587  0.0927  7 Ho 3.30-3.64, 1 In 3.43, 2 Sm 3.46
Sm  0.7413  0.9073  0.3033  7 Ho 3.30-3.64, 1 In 3.43, 2 Sm 3.46
Sm  0.0927  0.6967  0.2587  7 Ho 3.30-3.64, 1 In 3.43, 2 Sm 3.46
Sm  0.9073  0.3033  0.7413  7 Ho 3.30-3.64, 1 In 3.43, 2 Sm 3.46
Sm  0.3033  0.7413  0.9073  7 Ho 3.30-3.64, 1 In 3.43, 2 Sm 3.46
Sm  0.2587  0.0927  0.6967  7 Ho 3.30-3.64, 1 In 3.43, 2 Sm 3.46
Ho  0.1893  0.3586  0.0126  4 Sm 3.39-3.64, 4 Ho 3.45-3.60, 1 In 3.46
Ho  0.8107  0.6414  0.9874  4 Sm 3.39-3.64, 4 Ho 3.45-3.60, 1 In 3.46
Ho  0.9874  0.8107  0.6414  4 Sm 3.39-3.64, 4 Ho 3.45-3.60, 1 In 3.46
Ho  0.5395  0.4355  0.7775  6 Ho 3.26-3.60, 3 Sm 3.30-3.43
Ho  0.2225  0.4605  0.5645  6 Ho 3.26-3.60, 3 Sm 3.30-3.43
Ho  0.0126  0.1893  0.3586  4 Sm 3.39-3.64, 4 Ho 3.45-3.60, 1 In 3.46
Ho  0.6414  0.9874  0.8107  4 Sm 3.39-3.64, 4 Ho 3.45-3.60, 1 In 3.46
Ho  0.4355  0.7775  0.5395  6 Ho 3.26-3.60, 3 Sm 3.30-3.43
Ho  0.4605  0.5645  0.2225  6 Ho 3.26-3.60, 3 Sm 3.30-3.43
Ho  0.7775  0.5395  0.4355  6 Ho 3.26-3.60, 3 Sm 3.30-3.43
Ho  0.5645  0.2225  0.4605  6 Ho 3.26-3.60, 3 Sm 3.30-3.43
Ho  0.3586  0.0126  0.1893  4 Sm 3.39-3.64, 4 Ho 3.45-3.60, 1 In 3.46
In  0.0000  0.0000  0.0000  6 Sm 3.43, 6 Ho 3.46

***

## Sm5Ho2In4 (PBE-GGA)

Data for a geometry-optimized Sm5Ho2In4 structure.

Its density of states at the Fermi level is 14.8 states/eV per cell. The calculation puts the formation energy at 0.317 eV per atom. The space group is Immm. For the total energy, the calculation gives -40.2 eV/cell. The value obtained for the calculated volume is 39.715 A^3/atom.

Lattice parameters (Å, degrees): 3.4746 8.7135 15.1728 106.69 96.57 90.00
With the nearest neighbours (Å) after each atom.
Sites, in units of the cell vectors:
In  0.6979  0.6979  0.3958  6 Sm 3.15-3.40, 2 In 3.47
In  0.0000  0.3239  0.0000  1 In 3.07, 2 Sm 3.31
In  0.0000  0.6761  0.0000  1 In 3.07, 2 Sm 3.31
In  0.3021  0.3021  0.6042  6 Sm 3.15-3.40, 2 In 3.47
Sm  0.7995  0.9974  0.5990  3 In 3.15-3.40, 5 Sm 3.45-3.47, 1 Ho 3.47
Sm  0.2005  0.3984  0.4010  3 In 3.15-3.40, 5 Sm 3.45-3.47, 1 Ho 3.47
Sm  0.5000  0.0000  0.0000  4 Ho 3.27, 4 In 3.31, 2 Sm 3.47
Sm  0.7995  0.6016  0.5990  3 In 3.15-3.40, 5 Sm 3.45-3.47, 1 Ho 3.47
Sm  0.2005  0.0026  0.4010  3 In 3.15-3.40, 5 Sm 3.45-3.47, 1 Ho 3.47
Ho  0.0960  0.0960  0.1921  4 Sm 3.27-3.47, 2 Ho 3.47
Ho  0.9040  0.9040  0.8079  4 Sm 3.27-3.47, 2 Ho 3.47

***

## Sm5Ho2In5 (PBE-GGA)

Data for a geometry-optimized Sm5Ho2In5 structure.

Its density of states at the Fermi level is 12.2 states/eV per cell. The calculation puts the formation energy at -0.312 eV per atom. The space group is C2/m. For the total energy, the calculation gives -50.2 eV/cell. The value obtained for the calculated volume is 29.062 A^3/atom.

Lattice parameters (Å, degrees): 5.2233 6.4157 12.0979 107.89 90.00 114.02
With the nearest neighbours (Å) after each atom.
Sites, in units of the cell vectors:
In  0.2710  0.5420  0.2301  2 Ho 3.18, 4 Sm 3.19-3.46, 2 In 3.38-3.45
In  0.0000  0.0000  0.0000  4 Sm 3.18, 2 Ho 3.30, 2 In 3.45
In  0.1706  0.3413  0.4615  3 In 3.16-3.38, 1 Ho 3.16, 5 Sm 3.24-3.42
In  0.7290  0.4580  0.7699  2 Ho 3.18, 4 Sm 3.19-3.46, 2 In 3.38-3.45
In  0.8294  0.6587  0.5385  3 In 3.16-3.38, 1 Ho 3.16, 5 Sm 3.24-3.42
Sm  0.5000  0.0000  0.5000  8 In 3.42-3.73, 2 Sm 3.59
Sm  0.6352  0.2704  0.2743  5 In 3.20-3.39, 1 Sm 3.40, 2 Ho 3.49
Sm  0.6545  0.3089  0.0001  3 In 3.18-3.19, 3 Sm 3.40-3.44, 1 Ho 3.55
Sm  0.3648  0.7296  0.7257  5 In 3.20-3.39, 1 Sm 3.40, 2 Ho 3.49
Sm  0.3455  0.6911  0.9999  3 In 3.18-3.19, 3 Sm 3.40-3.44, 1 Ho 3.55
Ho  0.9290  0.8580  0.2422  4 In 3.16-3.30, 2 Sm 3.49
Ho  0.0710  0.1420  0.7578  4 In 3.16-3.30, 2 Sm 3.49

***

## Sm6HoIn5 (PBE-GGA)

Data for a geometry-optimized Sm6HoIn5 structure.

Its density of states at the Fermi level is 12.2 states/eV per cell. The calculation puts the formation energy at -0.255 eV per atom. The space group is C2/m. For the total energy, the calculation gives -49.6 eV/cell. The value obtained for the calculated volume is 30.370 A^3/atom.

Lattice parameters (Å, degrees): 6.2215 10.5091 7.7742 47.48 81.00 76.62
With the nearest neighbours (Å) after each atom.
Sites, in units of the cell vectors:
In  0.5000  0.8683  0.2634  1 In 3.02, 2 Sm 3.26
In  0.0000  0.7079  0.5843  6 Sm 3.20-3.36, 1 Ho 3.35
In  0.0000  0.2921  0.4157  6 Sm 3.20-3.36, 1 Ho 3.35
In  0.5000  0.5000  0.0000  6 Sm 3.21
In  0.5000  0.1317  0.7366  1 In 3.02, 2 Sm 3.26
Sm  0.2698  0.5420  0.3629  5 In 3.20-3.57, 1 Sm 3.42
Sm  0.2698  0.9050  0.6371  5 In 3.20-3.57, 1 Sm 3.42
Sm  0.7302  0.4580  0.6371  5 In 3.20-3.57, 1 Sm 3.42
Sm  0.7302  0.0950  0.3629  5 In 3.20-3.57, 1 Sm 3.42
Sm  0.7867  0.7178  0.0000  5 In 3.21-3.44, 1 Ho 3.52
Sm  0.2133  0.2822  0.0000  5 In 3.21-3.44, 1 Ho 3.52
Ho  0.0000  0.0000  0.0000  6 In 3.35-3.46, 6 Sm 3.52-3.65

***

## Sm4Ho5In2 (PBE-GGA)

Data for a geometry-optimized Sm4Ho5In2 structure.

Its density of states at the Fermi level is 13.5 states/eV per cell. The calculation puts the formation energy at 0.182 eV per atom. The space group is R-3m. For the total energy, the calculation gives -45.2 eV/cell. The value obtained for the calculated volume is 33.700 A^3/atom.

Lattice parameters (Å, degrees): 5.2409 5.2409 15.8752 80.50 80.50 60.00
With the nearest neighbours (Å) after each atom.
Sites, in units of the cell vectors:
Sm  0.7259  0.7259  0.8223  3 Sm 3.43, 5 Ho 3.58-3.63
Sm  0.2741  0.2741  0.1777  3 Sm 3.43, 5 Ho 3.58-3.63
Sm  0.5729  0.5729  0.2812  3 In 3.30, 5 Ho 3.41-3.62, 3 Sm 3.43
Sm  0.4271  0.4271  0.7188  3 In 3.30, 5 Ho 3.41-3.62, 3 Sm 3.43
Ho  0.3517  0.3517  0.9448  3 Ho 3.48, 5 Sm 3.52-3.63
Ho  0.5000  0.5000  0.5000  6 Ho 3.34, 2 Sm 3.41, 6 In 3.68
Ho  0.6483  0.6483  0.0552  3 Ho 3.48, 5 Sm 3.52-3.63
Ho  0.1971  0.1971  0.4087  3 In 3.10, 3 Ho 3.34
Ho  0.8029  0.8029  0.5913  3 In 3.10, 3 Ho 3.34
In  0.1218  0.1218  0.6346  3 Ho 3.10, 3 Sm 3.30
In  0.8782  0.8782  0.3654  3 Ho 3.10, 3 Sm 3.30

***

## Sm5Ho5In2 (PBE-GGA)

Data for a geometry-optimized Sm5Ho5In2 structure.

Its density of states at the Fermi level is 15.8 states/eV per cell. The calculation puts the formation energy at -0.049 eV per atom. The space group is C2/m. For the total energy, the calculation gives -52.6 eV/cell. The value obtained for the calculated volume is 31.384 A^3/atom.

Lattice parameters (Å, degrees): 5.1807 6.2107 16.9799 126.32 90.00 114.65
With the nearest neighbours (Å) after each atom.
Sites, in units of the cell vectors:
In  0.0117  0.0234  0.8129  5 Sm 3.22-3.57, 5 Ho 3.25-3.29
In  0.9883  0.9766  0.1871  5 Sm 3.22-3.57, 5 Ho 3.25-3.29
Sm  0.3455  0.6911  0.2338  1 Sm 3.29, 3 In 3.41-3.57, 5 Ho 3.46-3.66
Sm  0.0000  0.0000  0.0000  4 Ho 3.22, 2 In 3.27, 2 Sm 3.29
Sm  0.1213  0.2425  0.4223  1 In 3.22, 2 Sm 3.48, 4 Ho 3.53-3.56
Sm  0.8787  0.7575  0.5777  1 In 3.22, 2 Sm 3.48, 4 Ho 3.53-3.56
Sm  0.6545  0.3089  0.7662  1 Sm 3.29, 3 In 3.41-3.57, 5 Ho 3.46-3.66
Ho  0.6315  0.2629  0.9665  3 Sm 3.22-3.58, 3 In 3.25-3.28, 2 Ho 3.35
Ho  0.7183  0.4366  0.3166  2 In 3.29, 5 Sm 3.46-3.66
Ho  0.5000  0.0000  0.5000  8 Sm 3.56-3.63, 4 Ho 3.69
Ho  0.3685  0.7371  0.0335  3 Sm 3.22-3.58, 3 In 3.25-3.28, 2 Ho 3.35
Ho  0.2817  0.5634  0.6834  2 In 3.29, 5 Sm 3.46-3.66

***

## Sm2HoIn2 (PBE-GGA)

Data for a geometry-optimized Sm2HoIn2 structure.

Its density of states at the Fermi level is 8.3 states/eV per cell. The calculation puts the formation energy at -0.377 eV per atom. The space group is P2_1/m. For the total energy, the calculation gives -42.8 eV/cell. The value obtained for the calculated volume is 28.671 A^3/atom.

Lattice parameters (Å, degrees): 3.7818 5.3826 14.2122 90.00 97.67 90.00
With the nearest neighbours (Å) after each atom.
Sites, in units of the cell vectors:
In  0.5523  0.2500  0.1042  6 Sm 3.29-3.38, 2 Ho 3.31-3.32
In  0.4477  0.7500  0.8958  6 Sm 3.29-3.38, 2 Ho 3.31-3.32
In  0.3577  0.2500  0.7138  4 Sm 3.25-3.30, 4 Ho 3.29
In  0.6423  0.7500  0.2862  4 Sm 3.25-3.30, 4 Ho 3.29
Sm  0.0469  0.7500  0.0942  8 In 3.29-3.38
Sm  0.9531  0.2500  0.9058  8 In 3.29-3.38
Sm  0.7629  0.2500  0.5262  2 In 3.25, 4 Sm 3.37
Sm  0.2371  0.7500  0.4738  2 In 3.25, 4 Sm 3.37
Ho  0.1479  0.2500  0.2975  6 In 3.29-3.32, 2 Sm 3.66
Ho  0.8521  0.7500  0.7025  6 In 3.29-3.32, 2 Sm 3.66